Entry 1:
Entry from the Alexandria database: NdDy4Y2Tm2 after structural relaxation (PBE).

Output
Total magnetic moment ... 0.00 Bohr magnetons per cell
Energy of formation from the pure elements ... 80 meV/atom
DOS(E_F) ... 16.12 states/eV per cell

Geometry as CIF:
```
data_NdDy4Y2Tm2
_chemical_formula_sum 'Nd1 Dy4 Y2 Tm2'
_symmetry_space_group_name_H-M 'P -1'
_symmetry_Int_Tables_number 2
_symmetry_space_group_name_Hall '-P 1'
_cell_length_a 5.9974
_cell_length_b 6.6266
_cell_length_c 8.5989
_cell_angle_alpha 79.93
_cell_angle_beta 70.53
_cell_angle_gamma 63.81
loop_
_atom_site_label
_atom_site_type_symbol
_atom_site_fract_x
_atom_site_fract_y
_atom_site_fract_z
_atom_site_occupancy
Nd1 Nd 0.0000 0.0000 0.0000 1
Dy1 Dy 0.2699 0.4159 0.1188 1
Dy2 Dy 0.3741 0.8711 0.2443 1
Y1 Y 0.2694 0.6733 0.6553 1
Tm1 Tm 0.1832 0.2280 0.5548 1
```

=====

Entry 2:
Entry from the Alexandria database: Nd3DyYTm after structural relaxation (PBE).

Output
Total magnetic moment ... 0.00 Bohr magnetons per cell
Energy of formation from the pure elements ... 21 meV/atom
DOS(E_F) ... 35.33 states/eV per cell

Geometry as CIF:
```
data_Nd3DyYTm
_chemical_formula_sum 'Nd12 Dy4 Y4 Tm4'
_symmetry_space_group_name_H-M 'C m c m'
_symmetry_Int_Tables_number 63
_symmetry_space_group_name_Hall '-C 2c 2'
_cell_length_a 5.1064
_cell_length_b 15.3254
_cell_length_c 10.2001
_cell_angle_alpha 90.00
_cell_angle_beta 90.00
_cell_angle_gamma 90.00
loop_
_atom_site_label
_atom_site_type_symbol
_atom_site_fract_x
_atom_site_fract_y
_atom_site_fract_z
_atom_site_occupancy
Nd1 Nd 0.0000 0.1648 0.9998 1
Nd2 Nd 0.0000 0.3349 0.2500 1
Dy1 Dy 0.0000 0.5000 0.0000 1
Y1 Y 0.0000 0.3351 0.7500 1
Tm1 Tm 0.0000 0.0009 0.2500 1
```

=====

Entry 3:
Entry from the Alexandria database: Nd2Dy2YTm2 after structural relaxation (PBE).

Output
Total magnetic moment ... 0.00 Bohr magnetons per cell
Energy of formation from the pure elements ... 152 meV/atom
DOS(E_F) ... 24.28 states/eV per cell

Geometry as CIF:
```
data_Nd2Dy2YTm2
_chemical_formula_sum 'Nd4 Dy4 Y2 Tm4'
_symmetry_space_group_name_H-M 'C 1 2/m 1'
_symmetry_Int_Tables_number 12
_symmetry_space_group_name_Hall '-C 2y'
_cell_length_a 11.4766
_cell_length_b 3.4915
_cell_length_c 11.8359
_cell_angle_alpha 90.00
_cell_angle_beta 102.02
_cell_angle_gamma 90.00
loop_
_atom_site_label
_atom_site_type_symbol
_atom_site_fract_x
_atom_site_fract_y
_atom_site_fract_z
_atom_site_occupancy
Nd1 Nd 0.0939 0.0000 0.2745 1
Dy1 Dy 0.1531 0.0000 0.5722 1
Y1 Y 0.0000 0.5000 0.0000 1
Tm1 Tm 0.2050 0.0000 0.8721 1
```

=====

Entry 4:
Entry from the Alexandria database: NdDy2YTm2 after structural relaxation (PBE).

Output
Total magnetic moment ... 0.00 Bohr magnetons per cell
Energy of formation from the pure elements ... 72 meV/atom
DOS(E_F) ... 19.41 states/eV per cell

Geometry as CIF:
```
data_NdDy2YTm2
_chemical_formula_sum 'Nd2 Dy4 Y2 Tm4'
_symmetry_space_group_name_H-M 'P n n m'
_symmetry_Int_Tables_number 58
_symmetry_space_group_name_Hall '-P 2 2n'
_cell_length_a 6.9336
_cell_length_b 9.7530
_cell_length_c 5.6105
_cell_angle_alpha 90.00
_cell_angle_beta 90.00
_cell_angle_gamma 90.00
loop_
_atom_site_label
_atom_site_type_symbol
_atom_site_fract_x
_atom_site_fract_y
_atom_site_fract_z
_atom_site_occupancy
Nd1 Nd 0.0000 0.0000 0.0000 1
Dy1 Dy 0.2483 0.3332 0.0000 1
Y1 Y 0.0000 0.5000 0.5000 1
Tm1 Tm 0.2494 0.6665 0.0000 1
```

=====

Entry 5:
Entry from the Alexandria database: Nd4Dy2YTm2 after structural relaxation (PBE).

Output
Total magnetic moment ... 0.00 Bohr magnetons per cell
Energy of formation from the pure elements ... 23 meV/atom
DOS(E_F) ... 27.29 states/eV per cell

Geometry as CIF:
```
data_Nd4Dy2YTm2
_chemical_formula_sum 'Nd8 Dy4 Y2 Tm4'
_symmetry_space_group_name_H-M 'C 1 2/m 1'
_symmetry_Int_Tables_number 12
_symmetry_space_group_name_Hall '-C 2y'
_cell_length_a 15.2856
_cell_length_b 5.0821
_cell_length_c 8.0382
_cell_angle_alpha 90.00
_cell_angle_beta 108.45
_cell_angle_gamma 90.00
loop_
_atom_site_label
_atom_site_type_symbol
_atom_site_fract_x
_atom_site_fract_y
_atom_site_fract_z
_atom_site_occupancy
Nd1 Nd 0.0541 0.0000 0.3315 1
Nd2 Nd 0.2231 0.5000 0.3314 1
Dy1 Dy 0.1117 0.5000 0.6695 1
Y1 Y 0.0000 0.5000 0.0000 1
Tm1 Tm 0.1679 0.0000 0.9996 1
```

=====

Entry 6:
Entry from the Alexandria database: Nd6Dy3Y2Tm after structural relaxation (PBE).

Output
Total magnetic moment ... 0.00 Bohr magnetons per cell
Energy of formation from the pure elements ... 11 meV/atom
DOS(E_F) ... 27.17 states/eV per cell

Geometry as CIF:
```
data_Nd6Dy3Y2Tm
_chemical_formula_sum 'Nd12 Dy6 Y4 Tm2'
_symmetry_space_group_name_H-M 'C 1 2/m 1'
_symmetry_Int_Tables_number 12
_symmetry_space_group_name_Hall '-C 2y'
_cell_length_a 6.2757
_cell_length_b 10.8686
_cell_length_c 11.8545
_cell_angle_alpha 90.00
_cell_angle_beta 100.13
_cell_angle_gamma 90.00
loop_
_atom_site_label
_atom_site_type_symbol
_atom_site_fract_x
_atom_site_fract_y
_atom_site_fract_z
_atom_site_occupancy
Nd1 Nd 0.2487 0.0000 0.2498 1
Nd2 Nd 0.2497 0.1661 0.7500 1
Dy1 Dy 0.0000 0.1666 0.0000 1
Dy2 Dy 0.0000 0.5000 0.0000 1
Y1 Y 0.0000 0.3334 0.5000 1
Tm1 Tm 0.0000 0.0000 0.5000 1
```

=====

Entry 7:
Entry from the Alexandria database: NdDy2Y2Tm2 after structural relaxation (PBE).

Output
Total magnetic moment ... 0.00 Bohr magnetons per cell
Energy of formation from the pure elements ... 126 meV/atom
DOS(E_F) ... 30.99 states/eV per cell

Geometry as CIF:
```
data_NdDy2Y2Tm2
_chemical_formula_sum 'Nd2 Dy4 Y4 Tm4'
_symmetry_space_group_name_H-M 'C 1 2/m 1'
_symmetry_Int_Tables_number 12
_symmetry_space_group_name_Hall '-C 2y'
_cell_length_a 9.4577
_cell_length_b 5.8993
_cell_length_c 9.0666
_cell_angle_alpha 90.00
_cell_angle_beta 117.30
_cell_angle_gamma 90.00
loop_
_atom_site_label
_atom_site_type_symbol
_atom_site_fract_x
_atom_site_fract_y
_atom_site_fract_z
_atom_site_occupancy
Nd1 Nd 0.0000 0.0000 0.0000 1
Dy1 Dy 0.1447 0.0000 0.4279 1
Y1 Y 0.2161 0.5000 0.1493 1
Tm1 Tm 0.0706 0.5000 0.7134 1
```

=====

Entry 8:
Entry from the Alexandria database: Nd2Dy4Y2Tm after structural relaxation (PBE).

Output
Total magnetic moment ... 0.00 Bohr magnetons per cell
Energy of formation from the pure elements ... -1 meV/atom
DOS(E_F) ... 24.33 states/eV per cell

Geometry as CIF:
```
data_Nd2Dy4Y2Tm
_chemical_formula_sum 'Nd4 Dy8 Y4 Tm2'
_symmetry_space_group_name_H-M 'C 1 2/m 1'
_symmetry_Int_Tables_number 12
_symmetry_space_group_name_Hall '-C 2y'
_cell_length_a 18.7063
_cell_length_b 3.6063
_cell_length_c 9.5810
_cell_angle_alpha 90.00
_cell_angle_beta 115.70
_cell_angle_gamma 90.00
loop_
_atom_site_label
_atom_site_type_symbol
_atom_site_fract_x
_atom_site_fract_y
_atom_site_fract_z
_atom_site_occupancy
Nd1 Nd 0.1650 0.0000 0.0000 1
Dy1 Dy 0.0191 0.0000 0.3332 1
Dy2 Dy 0.1851 0.5000 0.3355 1
Y1 Y 0.1467 0.5000 0.6627 1
Tm1 Tm 0.0000 0.5000 0.0000 1
```